Material: BaMg4Cd4
Method: DFT, PBE-GGA
State: relaxed

The structure in POSCAR format:
```
BaMg4Cd4
1.0
6.9346 0.0000 0.0000
0.0000 6.9346 0.0000
0.0000 0.0000 10.0245
Ba Mg Cd
2 8 8
direct
0.2500 0.7500 0.2500
0.7500 0.2500 0.7500
0.0155 0.2500 0.1523
0.2500 0.0155 0.6523
0.2500 0.4845 0.6523
0.4845 0.2500 0.1523
0.5155 0.7500 0.8477
0.7500 0.5155 0.3477
0.7500 0.9845 0.3477
0.9845 0.7500 0.8477
0.0422 0.2500 0.4437
0.2500 0.0422 0.9437
0.2500 0.4578 0.9437
0.4578 0.2500 0.4437
0.5422 0.7500 0.5563
0.7500 0.5422 0.0563
0.7500 0.9578 0.0563
0.9578 0.7500 0.5563
```

## Properties
Calculated volume ... 26.8 Å³/atom
Energy of formation ... -0.1474 eV/atom
Total DFT energy (no corrections) ... -1.48 eV/atom
Total moment ... 0.0 μB per formula unit

=====

Material: AcErAu2
Method: DFT, PBE-GGA
State: relaxed

The structure in POSCAR format:
```
AcErAu2
1.0
5.8916 0.0000 0.0000
0.0000 4.8097 0.0000
-2.1683 0.0000 7.6258
Ac Er Au
2 2 4
direct
0.2254 0.2500 0.4303
0.7746 0.7500 0.5697
0.2266 0.2500 0.9394
0.7734 0.7500 0.0606
0.3118 0.7500 0.1740
0.3340 0.7500 0.7414
0.6660 0.2500 0.2586
0.6882 0.2500 0.8260
```

## Properties
Calculated volume ... 27.0 Å³/atom
Energy of formation ... -0.8327 eV/atom
E above lowest polymorph ... 0 meV per atom
Total DFT energy (no corrections) ... -4.64 eV/atom
Total moment ... 0.0 μB per formula unit